Below is crystalline LiFeSi3O8 at its relaxed geometry, with properties calculated at the PBE+U level.

a = 8.1261 Å, b = 8.1261 Å, c = 7.2090 Å
α = 77.35°, β = 77.35°, γ = 117.29°
Positions (direct):
O1 0.0351 0.3443 0.2137
O2 0.8378 0.1622 0.0000
Si1 0.7980 0.1873 0.7857
Si2 0.1963 0.8316 0.7673
O3 0.2535 0.6632 0.2995
Fe1 0.4137 0.2046 0.3493
O4 0.9686 0.6921 0.7876
O5 0.3099 0.0687 0.6350
Li1 0.8446 0.6114 0.1259
Si3 0.1684 0.8037 0.2327
O6 0.3079 0.0314 0.2124
Si4 0.8127 0.2020 0.2143
Fe2 0.7954 0.5863 0.6507
O7 0.1689 0.8311 0.0000
O8 0.6951 0.9868 0.4022
O9 0.6950 0.3202 0.2351
O10 0.6557 0.9649 0.7863
O11 0.3368 0.7465 0.7005
Si5 0.1636 0.4236 0.3570
O12 0.6798 0.3050 0.7649
O13 0.0132 0.3049 0.5978
O14 0.6015 0.6478 0.6912
O15 0.3522 0.3985 0.3088
Si6 0.5764 0.8364 0.6430
Li2 0.3886 0.1554 0.8741
O16 0.9313 0.6901 0.3650

Output
The space group is C2 (5). Its crystal system is monoclinic. The calculation puts the energy above the most stable polymorph in this dataset at 20.7 meV per atom. The total magnetic moment is 9.9 Bohr magnetons per cell. The calculation puts the density of states at the Fermi level at 0.00 states/eV/cell.